# Cd2InCo (GGA-PBEsol, optimized geometry)
# Space group = No. 71
data_Cd2InCo
_chemical_formula_sum 'Cd2 In1 Co1'
_cell_length_a 2.8701
_cell_length_b 4.3113
_cell_length_c 6.6306
_cell_angle_alpha 108.97
_cell_angle_beta 102.50
_cell_angle_gamma 90.00
_space_group_name_H-M_alt 'P 1'
_space_group_IT_number 1
_space_group_name_Hall 'P 1'
loop_
_atom_site_label
_atom_site_fract_x
_atom_site_fract_y
_atom_site_fract_z
Cd1 0.3147 0.3147 0.6293
Cd2 0.6853 0.6853 0.3707
Co1 0.0000 0.5000 0.0000
In1 0.5000 0.0000 0.0000



# CdIn2Co (GGA-PBEsol, optimized geometry)
# Space group = No. 65
data_CdIn2Co
_chemical_formula_sum 'Cd1 In2 Co1'
_cell_length_a 3.2657
_cell_length_b 4.8370
_cell_length_c 4.8370
_cell_angle_alpha 105.91
_cell_angle_beta 90.00
_cell_angle_gamma 90.00
_space_group_name_H-M_alt 'P 1'
_space_group_IT_number 1
_space_group_name_Hall 'P 1'
loop_
_atom_site_label
_atom_site_fract_x
_atom_site_fract_y
_atom_site_fract_z
Cd1 0.5000 0.0000 0.0000
In1 0.0000 0.5000 0.0000
In2 0.0000 0.0000 0.5000
Co1 0.5000 0.5000 0.5000



| no. | formation energy (eV/atom) | calculated total energy (eV per atom) |
| --- | --- | --- |
| 1 | 0.0646 | -3.21 |
| 2 | 0.3084 | -3.42 |